{
  "formula": "Ac6USe12",
  "functional": "PBE",
  "state": "optimized geometry",
  "lattice_angstrom": [[6.6321, 3.8291, 4.2466], [-6.6321, 3.8291, 4.2466], [0.0000, -7.6581, 4.2466]],
  "species": ["Ac", "Ac", "Ac", "Ac", "Ac", "Ac", "U", "Se", "Se", "Se", "Se", "Se", "Se", "Se", "Se", "Se", "Se", "Se", "Se"],
  "fractional_positions": [[0.1299, 0.6419, 0.8137], [0.1863, 0.8701, 0.3581], [0.3581, 0.1863, 0.8701], [0.6419, 0.8137, 0.1299], [0.8137, 0.1299, 0.6419], [0.8701, 0.3581, 0.1863], [0.5000, 0.5000, 0.5000], [0.0664, 0.3228, 0.9147], [0.0853, 0.9336, 0.6772], [0.1915, 0.5239, 0.4394], [0.3228, 0.9147, 0.0664], [0.4394, 0.1915, 0.5239], [0.4761, 0.5606, 0.8085], [0.5239, 0.4394, 0.1915], [0.5606, 0.8085, 0.4761], [0.6772, 0.0853, 0.9336], [0.8085, 0.4761, 0.5606], [0.9147, 0.0664, 0.3228], [0.9336, 0.6772, 0.0853]],
  "formation_energy_uncorrected_ev_per_atom": -1.80,
  "vol_a3_per_fu": 647.05
}